Density functional theory data (PBE) for Pr2SnBr after structural relaxation.

Values from the calculation:
Magnetic moment   0.0 μB per cell
Fermi-level density of states   12.2 states/eV per cell
ΔE to the lowest computed polymorph   0 meV per atom
Formation energy without anion corrections   -1.07 eV/atom
Total energy   -4.882 eV per atom

abc: 7.926 4.331 14.981
angles: 90.00 90.00 90.00
Fractional coordinates of all 16 atoms:
Pr1 0.156 0.250 0.239
Pr2 0.206 0.750 0.999
Pr3 0.294 0.250 0.499
Pr4 0.344 0.750 0.739
Pr5 0.656 0.250 0.261
Pr6 0.706 0.750 0.501
Pr7 0.794 0.250 0.001
Pr8 0.844 0.750 0.761
Sn1 0.095 0.250 0.850
Sn2 0.405 0.750 0.350
Sn3 0.595 0.250 0.650
Sn4 0.905 0.750 0.150
Br1 0.075 0.750 0.595
Br2 0.425 0.250 0.095
Br3 0.575 0.750 0.905
Br4 0.925 0.250 0.405

***

Density functional theory data (PBE) for Al2CoH after structural relaxation.

Values from the calculation:
Magnetic moment   0.0 μB per cell
Fermi-level density of states   9.9 states/eV per cell
ΔE to the lowest computed polymorph   175 meV per atom
Total energy   -4.281 eV per atom

abc: 5.667 5.667 5.667
angles: 90.00 90.00 90.00
Fractional coordinates of all 16 atoms:
Al1 0.250 0.250 0.250
Al2 0.250 0.250 0.750
Al3 0.250 0.750 0.250
Al4 0.250 0.750 0.750
Al5 0.750 0.250 0.250
Al6 0.750 0.250 0.750
Al7 0.750 0.750 0.250
Al8 0.750 0.750 0.750
Co1 0.000 0.000 0.000
Co2 0.000 0.500 0.500
Co3 0.500 0.000 0.500
Co4 0.500 0.500 0.000
H1 0.000 0.000 0.500
H2 0.000 0.500 0.000
H3 0.500 0.000 0.000
H4 0.500 0.500 0.500

***

Density functional theory data (PBE) for TcHCNO after structural relaxation.

Values from the calculation:
Magnetic moment   0.0 μB per cell
Fermi-level density of states   2.4 states/eV per cell
ΔE to the lowest computed polymorph   137 meV per atom
Total energy   -7.298 eV per atom

abc: 2.797 3.237 5.819
angles: 85.82 89.01 70.34
Fractional coordinates of all 5 atoms:
Tc1 0.000 0.000 0.000
H1 0.610 0.175 0.455
C1 0.644 0.584 0.170
N1 0.828 0.276 0.332
O1 0.522 0.949 0.762

***

Density functional theory data (PBE) for Er4Zn2Hg after structural relaxation.

Values from the calculation:
Magnetic moment   0.0 μB per cell
Energy of formation   -0.09 eV per atom
Fermi-level density of states   11.0 states/eV per cell
ΔE to the lowest computed polymorph   133 meV per atom
Total energy   -3.102 eV per atom

abc: 9.554 9.554 9.554
angles: 29.56 29.56 29.56
Fractional coordinates of all 7 atoms:
Er1 0.118 0.118 0.118
Er2 0.297 0.297 0.297
Er3 0.703 0.703 0.703
Er4 0.882 0.882 0.882
Zn1 0.403 0.403 0.403
Zn2 0.597 0.597 0.597
Hg1 0.500 0.500 0.500

***

Density functional theory data (PBE) for KIn4Cu after structural relaxation.

Values from the calculation:
Magnetic moment   0.0 μB per cell
Energy of formation   0.24 eV per atom
Fermi-level density of states   2.0 states/eV per cell
Total energy   -2.455 eV per atom

abc: 6.233 6.233 6.233
angles: 60.00 60.00 60.00
Fractional coordinates of all 6 atoms:
K1 0.000 0.000 0.000
In1 0.375 0.375 0.375
In2 0.375 0.375 0.874
In3 0.375 0.874 0.375
In4 0.874 0.375 0.375
Cu1 0.750 0.750 0.750

***

Density functional theory data (PBE) for BaTlCl6 after structural relaxation.

Values from the calculation:
Magnetic moment   1.0 μB per cell
Formation energy without anion corrections   -1.15 eV/atom
Total energy   -3.074 eV per atom

abc: 5.712 6.367 7.014
angles: 75.74 68.21 83.04
Fractional coordinates of all 8 atoms:
Ba1 0.000 0.000 0.000
Tl1 0.500 0.500 0.500
Cl1 0.063 0.602 0.737
Cl2 0.300 0.137 0.482
Cl3 0.463 0.746 0.147
Cl4 0.537 0.254 0.853
Cl5 0.700 0.863 0.518
Cl6 0.937 0.398 0.263